No. 1
First-principles (PBE) data for an optimized crystal structure of Zr2VB, as listed in the Alexandria database.

a = 5.8154 Å, b = 5.8154 Å, c = 5.8154 Å
α = 99.93°, β = 99.93°, γ = 130.93°
Sites, in units of the cell vectors:
Zr (0.0557, 0.6250, 0.9307)
Zr (0.3750, 0.3057, 0.4307)
Zr (0.6943, 0.1250, 0.0693)
Zr (0.8750, 0.9443, 0.5693)
V (0.2500, 0.7500, 0.5000)
V (0.5000, 0.5000, 0.0000)
B (0.0000, 0.0000, 0.0000)
B (0.7500, 0.2500, 0.5000)

Output
Its volume is 16.90 Å³ per atom. As for the symmetry: No. 122. For the uncorrected energy, the calculation gives -7.8233 eV/atom. As for the theoretical density: 6.00 g/cm3. The spin magnetization is 0.382 μB per formula unit.

---

No. 2
First-principles (PBE) data for an optimized crystal structure of PC, as listed in the Alexandria database.

a = 5.1946 Å, b = 5.1946 Å, c = 2.8727 Å
α = 90.00°, β = 90.00°, γ = 147.88°
Sites, in units of the cell vectors:
P (0.1515, 0.8485, 0.7500)
P (0.8485, 0.1515, 0.2500)
C (0.3396, 0.6604, 0.7500)
C (0.6604, 0.3396, 0.2500)

Output
Its volume is 10.30 Å³ per atom. The value obtained for the relative energy among the computed polymorphs is 0.818 eV/atom. As for the symmetry: No. 63. As for the theoretical density: 3.46 g/cm3. The spin magnetization is 0.000 μB per formula unit.

---

No. 3
First-principles (PBE) data for an optimized crystal structure of RbPu2GaBr8, as listed in the Alexandria database.

a = 7.1344 Å, b = 8.9249 Å, c = 7.5239 Å
α = 90.00°, β = 93.29°, γ = 90.00°
Sites, in units of the cell vectors:
Rb (0.0000, 0.0000, 0.0000)
Pu (0.5000, 0.2548, 0.5000)
Pu (0.5000, 0.7452, 0.5000)
Ga (0.0000, 0.5000, 0.0000)
Br (0.2703, 0.2705, 0.1818)
Br (0.2703, 0.7295, 0.1818)
Br (0.2775, 0.5000, 0.6368)
Br (0.2816, 0.0000, 0.6246)
Br (0.7184, 0.0000, 0.3754)
Br (0.7225, 0.5000, 0.3632)
Br (0.7297, 0.2705, 0.8182)
Br (0.7297, 0.7295, 0.8182)

Output
Its volume is 39.86 Å³ per atom. As for the symmetry: No. 10. For the uncorrected energy, the calculation gives -5.2140 eV/atom. As for the theoretical density: 4.45 g/cm3. The spin magnetization is 10.000 μB per formula unit.

---

No. 4
First-principles (PBE) data for an optimized crystal structure of ScTl2Pb, as listed in the Alexandria database.

a = 3.4187 Å, b = 3.4187 Å, c = 10.6956 Å
α = 90.00°, β = 90.00°, γ = 116.48°
Sites, in units of the cell vectors:
Sc (0.0000, 0.0000, 0.0000)
Tl (0.5000, 0.5000, 0.2304)
Tl (0.5000, 0.5000, 0.7696)
Pb (0.0000, 0.0000, 0.5000)

Output
Its volume is 27.97 Å³ per atom. As for the symmetry: No. 65. For the uncorrected energy, the calculation gives -3.6769 eV/atom. As for the theoretical density: 9.81 g/cm3. The spin magnetization is 0.000 μB per formula unit.

---

No. 5
First-principles (PBE) data for an optimized crystal structure of CaMoBr3, as listed in the Alexandria database.

a = 5.3031 Å, b = 5.3031 Å, c = 5.3031 Å
α = 90.00°, β = 90.00°, γ = 90.00°
Sites, in units of the cell vectors:
Ca (0.0000, 0.0000, 0.0000)
Mo (0.5000, 0.5000, 0.5000)
Br (0.0000, 0.5000, 0.5000)
Br (0.5000, 0.0000, 0.5000)
Br (0.5000, 0.5000, 0.0000)

Output
Its volume is 29.83 Å³ per atom. The value obtained for the relative energy among the computed polymorphs is 0.036 eV/atom. As for the symmetry: No. 221. As for the theoretical density: 4.18 g/cm3. The spin magnetization is 3.225 μB per formula unit.

---

No. 6
First-principles (PBE) data for an optimized crystal structure of SeF, as listed in the Alexandria database.

a = 8.1514 Å, b = 4.6161 Å, c = 8.4168 Å
α = 90.00°, β = 90.00°, γ = 90.00°
Sites, in units of the cell vectors:
Se (0.0000, 0.2408, 0.0000)
Se (0.2299, 0.2392, 0.1680)
Se (0.2701, 0.7608, 0.6680)
Se (0.5000, 0.7592, 0.5000)
Se (0.7299, 0.7608, 0.6680)
Se (0.7701, 0.2392, 0.1680)
F (0.0000, 0.7754, 0.6524)
F (0.2504, 0.3713, 0.6943)
F (0.2496, 0.6287, 0.1943)
F (0.5000, 0.2246, 0.1524)
F (0.7496, 0.3713, 0.6943)
F (0.7504, 0.6287, 0.1943)

Output
Its volume is 26.39 Å³ per atom. The value obtained for the relative energy among the computed polymorphs is 0.261 eV/atom. As for the symmetry: No. 31. As for the theoretical density: 3.08 g/cm3. The spin magnetization is 0.000 μB per formula unit.